VASP calculation (SCAN) on a PBEsol-optimized structure of Tb10Ti6O27.

Summary:
Final energy, eV per atom: -20.670
Energy relative to the elements, uncorrected, eV/atom: -3.65
Magnetization, Bohr magnetons per cell: 0.00
Crystal system: monoclinic
DOS at the Fermi energy, states/eV/cell: 0.00

Cell lengths 7.2169, 7.3190, 12.3509 Å; angles 73.79, 73.01, 60.46 degrees
With the nearest neighbours (Å) after each atom.
Fractional coordinates of all 43 atoms:
1 O 0.3404 0.3146 0.5626  3 Tb 2.24-2.31, 1 Ti 2.30
2 O 0.9239 0.9128 0.6657  1 Ti 1.88
3 O 0.7711 0.4999 0.9579  2 Ti 1.90
4 O 0.0705 0.0441 0.8149  4 Tb 2.11-2.21
5 O 0.1960 0.6092 0.9987  2 Ti 1.94
6 O 0.4976 0.9128 0.6657  1 Ti 1.88
7 O 0.9703 0.3994 0.1609  1 Ti 1.95
8 O 0.6422 0.1968 0.9773  1 Ti 1.86
9 O 0.4072 0.0121 0.1735  2 Ti 1.93-2.00
10 O 0.7847 0.7941 0.0366  1 Ti 1.92
11 O 0.9388 0.4371 0.6853  4 Tb 2.18-2.27
12 O 0.4186 0.1632 0.3626  2 Ti 1.86-1.96
13 O 0.4694 0.3994 0.1609  1 Ti 1.95
14 O 0.1838 0.1968 0.9773  1 Ti 1.86
15 O 0.1070 0.5470 0.8192  1 Ti 2.06, 2 Tb 2.22-2.27
16 O 0.7390 0.0712 0.4509  2 Ti 1.88
17 O 0.7824 0.3146 0.5626  3 Tb 2.24-2.31, 1 Ti 2.30
18 O 0.3846 0.7941 0.0366  1 Ti 1.92
19 O 0.0556 0.1632 0.3626  2 Ti 1.86-1.96
20 O 0.5268 0.5470 0.8192  1 Ti 2.06, 2 Tb 2.22-2.27
21 O 0.6960 0.7313 0.4442  1 Ti 1.89
22 O 0.5602 0.0386 0.8410  1 Ti 1.92
23 O 0.9312 0.9481 0.1894  4 Tb 2.18-2.29
24 O 0.5627 0.5634 0.3112  4 Tb 2.11-2.23
25 O 0.2846 0.8907 0.5402  2 Ti 2.01
26 O 0.0847 0.5355 0.2951  1 Ti 1.94
27 O 0.1285 0.7313 0.4442  1 Ti 1.89
28 Tb 0.2472 0.7727 0.7329  6 O 2.11-2.34
29 Tb 0.0230 0.4602 0.4937  6 O 2.24-2.33
30 Tb 0.4795 0.5502 0.4907  4 O 2.11-2.33
31 Tb 0.7590 0.2350 0.7534  6 O 2.21-2.46
32 Tb 0.7484 0.2343 0.2690  5 O 2.18-2.36
33 Tb 0.7577 0.7081 0.7764  7 O 2.18-2.35
34 Tb 0.2526 0.2350 0.7534  6 O 2.21-2.46
35 Tb 0.0148 0.9676 0.0029  7 O 2.19-2.43
36 Tb 0.2700 0.7233 0.2318  5 O 2.21-2.35
37 Tb 0.7749 0.7233 0.2318  5 O 2.21-2.35
38 Ti 0.4999 0.9946 0.0057  6 O 1.92-2.09
39 Ti 0.2464 0.2529 0.2542  4 O 1.86-1.94
40 Ti 0.0180 0.4818 0.9946  5 O 1.86-2.06
41 Ti 0.5163 0.9868 0.5056  5 O 1.88-2.01
42 Ti 0.5056 0.4818 0.9946  5 O 1.86-2.06
43 Ti 0.9913 0.9868 0.5056  5 O 1.88-2.01